Record 1
The following is a DFT calculation (PBE) of a relaxed structure of MnH2Br2.

Geometry as POSCAR:
```
MnH2Br2
1.0
2.9062 -2.7172 0.0000
2.9062 2.7172 0.0000
-0.4583 0.0000 11.8339
Mn H Br
2 4 4
Direct
0.1652 0.8348 0.7500
0.8348 0.1652 0.2500
0.1398 0.1538 0.3350
0.1538 0.1398 0.8350
0.8462 0.8602 0.1650
0.8602 0.8462 0.6650
0.2841 0.2955 0.1268
0.2955 0.2841 0.6268
0.7045 0.7159 0.3732
0.7159 0.7045 0.8732
```

Computed properties:
space-group type	No. 15
energy above the lowest structure with this stoichiometry	0.00	kJ per mole of atoms

=====

Record 2
The following is a DFT calculation (PBE) of a relaxed structure of MnHBr2.

Geometry as POSCAR:
```
MnHBr2
1.0
6.5252 0.0000 0.0000
0.0000 3.8843 0.0000
-1.5734 0.0000 7.2943
Mn H Br
2 2 4
Direct
0.0000 0.0000 0.0000
0.5000 0.5000 0.0000
0.1088 0.0000 0.4564
0.6088 0.5000 0.4564
0.1251 0.5000 0.8094
0.2369 0.0000 0.3040
0.6251 0.0000 0.8094
0.7369 0.5000 0.3040
```

Computed properties:
space-group type	No. 8

=====

Record 3
The following is a DFT calculation (PBE) of a relaxed structure of MnNbHBr2.

Geometry as POSCAR:
```
MnNbHBr2
1.0
4.7421 0.0000 0.0000
0.0000 4.7421 0.0000
0.0000 0.0000 3.2845
Mn Nb H Br
1 1 1 2
Direct
0.0000 0.0000 0.0000
0.5000 0.5000 0.0000
0.0000 0.0000 0.5000
0.0000 0.5000 0.5000
0.5000 0.0000 0.5000
```

Computed properties:
space-group type	No. 123

=====

Number 1: final energy -3.924 eV per atom. Number 2: final energy -3.987 eV per atom. Number 3: final energy -4.369 eV per atom.